Below is a relaxed AcNd3P crystal, with properties calculated at the PBE-GGA level.

Structure (CIF):
```
data_AcNd3P
_chemical_formula_sum 'Ac1 Nd3 P1'
_cell_length_a 5.654
_cell_length_b 5.654
_cell_length_c 5.654
_cell_angle_alpha 90.00
_cell_angle_beta 90.00
_cell_angle_gamma 90.00
_space_group_name_H-M_alt 'P m -3 m'
_space_group_IT_number 221
_space_group_name_Hall '-P 4 2 3'
loop_
_atom_site_label
_atom_site_fract_x
_atom_site_fract_y
_atom_site_fract_z
_atom_site_occupancy
Ac1 0.000 0.000 0.000 1
Nd1 0.000 0.500 0.500 1
P1 0.500 0.500 0.500 1
```

Values from the calculation:
- Calculated volume: 181 Å³/cell
- ρ: 6.34 g cm⁻³
- ΔH_f (0 K): -430 meV/atom

Below is a relaxed AcNd2P crystal, with properties calculated at the PBE-GGA level.

Structure (CIF):
```
data_AcNd2P
_chemical_formula_sum 'Ac3 Nd6 P3'
_cell_length_a 4.0192
_cell_length_b 4.0192
_cell_length_c 29.1982
_cell_angle_alpha 90.00
_cell_angle_beta 90.00
_cell_angle_gamma 120.00
_space_group_name_H-M_alt 'R -3 m'
_space_group_IT_number 166
_space_group_name_Hall '-R 3 2"'
loop_
_atom_site_label
_atom_site_fract_x
_atom_site_fract_y
_atom_site_fract_z
_atom_site_occupancy
Ac1 0.0000 0.0000 0.0000 1
Nd1 0.0000 0.0000 0.2237 1
P1 0.0000 0.0000 0.5000 1
```

Values from the calculation:
- Calculated volume: 408 Å³/cell
- ρ: 6.66 g cm⁻³
- ΔH_f (0 K): -707 meV/atom

Below is a relaxed Ac2NdP crystal, with properties calculated at the PBE-GGA level.

Structure (CIF):
```
data_Ac2NdP
_chemical_formula_sum 'Ac6 Nd3 P3'
_cell_length_a 4.1310
_cell_length_b 4.1310
_cell_length_c 30.7200
_cell_angle_alpha 90.00
_cell_angle_beta 90.00
_cell_angle_gamma 120.00
_space_group_name_H-M_alt 'R -3 m'
_space_group_IT_number 166
_space_group_name_Hall '-R 3 2"'
loop_
_atom_site_label
_atom_site_fract_x
_atom_site_fract_y
_atom_site_fract_z
_atom_site_occupancy
Ac1 0.0000 0.0000 0.2276 1
Nd1 0.0000 0.0000 0.0000 1
P1 0.0000 0.0000 0.5000 1
```

Values from the calculation:
- Calculated volume: 454 Å³/cell
- ρ: 6.90 g cm⁻³
- ΔH_f (0 K): -549 meV/atom